Computed, not measured: AsWSe2O after structural relaxation at the PBE with a Hubbard U level of DFT.

Geometry as extended XYZ:
```
5
Lattice="4.5625 0.0000 0.0000 0.0000 4.5625 0.0000 0.0000 0.0000 4.2757" Properties=species:S:1:pos:R:3 pbc="T T T"
As 0.0000 0.0000 0.0000
W 2.2813 2.2813 0.0000
Se 0.0000 2.2813 2.1379
Se 2.2813 0.0000 2.1379
O 0.0000 0.0000 2.1379
```

Output
ρ (kg/m3): 8072
Uncorrected energy (eV/atom): -4.121
SG: P4/mmm (123)